Entry 1:
Entry from Alexandria: a relaxed structure of ZrNbAlI2 (GGA-PBE).

## Properties
Uncorrected energy (eV/f.u.): -18.86
Energy above the lowest structure with this stoichiometry (meV/atom): 443.8
Density (g cm⁻³): 5.1
D(E_F) (states/eV per cell): 6.463

Cell: 5.2913 5.3864 5.2913 Å, 90.00 90.00 90.00°
With the nearest neighbours (Å) after each atom.
Element x y z (fractional)
Nb  0.5000  0.5000  0.5000  4 Zr 3.74, 8 I 3.78
I  0.5000  0.0000  0.0000  2 Al 2.65
I  0.0000  0.0000  0.5000  2 Al 2.65
Zr  0.0000  0.5000  0.0000  2 Al 2.69
Al  0.0000  0.0000  0.0000  4 I 2.65, 2 Zr 2.69

***

Entry 2:
Entry from Alexandria: a relaxed structure of ZrNbAlI2 (GGA-PBE).

## Properties
Uncorrected energy (eV/f.u.): -21.08
Energy above the lowest structure with this stoichiometry (meV/atom): 0.0
Density (g cm⁻³): 4.5
D(E_F) (states/eV per cell): 4.111

Cell: 5.7512 5.1477 5.7512 Å, 90.00 90.00 90.00°
With the nearest neighbours (Å) after each atom.
Element x y z (fractional)
Al  0.5000  0.5000  0.5000  8 I 3.86, 4 Nb 4.07
Zr  0.0000  0.0000  0.0000  2 Nb 2.57, 4 I 2.88
Nb  0.0000  0.5000  0.0000  2 Zr 2.57
I  0.0000  0.0000  0.5000  2 Zr 2.88
I  0.5000  0.0000  0.0000  2 Zr 2.88

***

no.,ΔE_f (raw) (meV/atom)
1,1319.4
2,875.6